# Nd2Ho4Tm7

Nd2Ho4Tm7 after structural relaxation (PBE, Alexandria).

* ΔH_f (0 K): 0.193 eV per atom
* theoretical density: 8.49 g/cm3
* space-group type: No. 162
* density of states at the Fermi level: 1.324 states/eV/atom

The structure in POSCAR format:
```
Nd2Ho4Tm7
1.0
6.006 0.000 0.000
-3.003 5.202 0.000
0.000 0.000 13.332
Nd Ho Tm
2 4 7
Direct
0.333 0.667 0.000 Nd
0.667 0.333 0.000 Nd
0.000 0.000 0.395 Ho
0.000 0.000 0.605 Ho
0.333 0.667 0.500 Ho
0.667 0.333 0.500 Ho
0.000 0.000 0.000 Tm
0.000 0.348 0.215 Tm
0.000 0.652 0.785 Tm
0.348 0.000 0.215 Tm
0.348 0.348 0.785 Tm
0.652 0.000 0.785 Tm
0.652 0.652 0.215 Tm
```